# Sm2TaGeN5 PBE relaxed
data_Sm2TaGeN5
_symmetry_space_group_name_H-M 'C m c 21'
_symmetry_Int_Tables_number 36
_symmetry_space_group_name_Hall 'C 2c -2'
_cell_length_a 3.2293
_cell_length_b 14.4003
_cell_length_c 10.0668
_cell_angle_alpha 90.00
_cell_angle_beta 90.00
_cell_angle_gamma 90.00
loop_
_atom_site_label
_atom_site_fract_x
_atom_site_fract_y
_atom_site_fract_z
_atom_site_occupancy
Sm1 0.0000 0.1110 0.0000 1
Sm2 0.0000 0.1258 0.6139 1
Ta1 0.0000 0.2201 0.3277 1
Ge1 0.0000 0.4511 0.7654 1
N1 0.0000 0.0483 0.3638 1
N2 0.0000 0.2871 0.9622 1
N3 0.0000 0.3185 0.6912 1
N4 0.0000 0.3524 0.3118 1
N5 0.0000 0.4982 0.0979 1
# Formation energy from raw total energies: -1.008 eV/atom
# Total magnetization: 0.000 μB/f.u.
# Calculated volume: 13.004 Å³ per atom